DFT (GGA-PBE) results for crystalline PrErTe2O at its relaxed geometry.

abc: 4.227 4.227 15.677
angles: 90.00 90.00 90.00
Fractional positions:
1 Er 0.500 0.000 0.126
2 O 0.000 0.000 0.500
3 Te 0.000 0.500 0.085
4 Er 0.000 0.500 0.874
5 Te 0.000 0.500 0.693
6 Pr 0.000 0.500 0.427
7 O 0.500 0.500 0.500
8 Te 0.500 0.000 0.307
9 Te 0.500 0.000 0.915
10 Pr 0.500 0.000 0.573

Uncorrected formation energy (meV per atom): -2042.0
Total magnetic moment (μB/f.u.): 0.00